This record from the Alexandria database describes a relaxed Na3YBr crystal. The functional is PBE-GGA.

Geometry as POSCAR:
```
Na3YBr
1.0
-5.185 1.411 1.873
-2.332 -3.594 -3.746
0.254 -4.181 3.853
Y Na Br
1 3 1
Direct
0.500 0.500 0.500 Y
0.000 0.000 0.500 Na
0.500 0.000 0.000 Na
0.000 0.500 0.000 Na
0.000 0.000 0.000 Br
```

Summary:
The calculation puts the polymorph energy (0 for the lowest one) at 0.000 eV per formula unit. The calculated total energy comes out at -12.3 eV for the cell shown. The value obtained for the formation energy without anion corrections is -0.047 eV/atom.